1.
Mg3ScIn | PBE | optimized geometry

Cell: 4.9207 4.9344 6.0767 Å, 66.94 66.54 60.30°
Space group P1 (No. 1)
Asymmetric unit:
Mg 0.0000 0.0000 0.0000
Mg 0.2066 0.2037 0.3830
Mg 0.5934 0.5916 0.2213
Sc 0.7961 0.7963 0.6115
In 0.4018 0.4027 0.7932

ΔE_f	-106	meV per atom
E_tot	-14.4	eV/cell
distance to the lowest polymorph of the same formula	0	meV/atom

2.
K3Dy3HfTe8 | PBE | optimized geometry

Cell: 8.7660 8.7660 25.3359 Å, 90.00 90.00 120.00°
Space group R-3m (No. 166, hexagonal axes)
Asymmetric unit:
K 0.0000 0.5000 0.0000
Dy 0.0000 0.5000 0.5000
Hf 0.0000 0.0000 0.5000
Te 0.0000 0.0000 0.2363
Te 0.0152 0.5076 0.2334

energy relative to the elements, uncorrected	-19.04	eV per formula unit
E_tot	-213.7	eV/cell

3.
DyHo6Er5 | PBE | optimized geometry

Cell: 6.0796 10.5197 11.6292 Å, 90.00 100.01 90.00°
Space group C2/m (No. 12)
Asymmetric unit:
Dy 0.0000 0.0000 0.0000
Ho 0.2494 0.5000 0.2503
Ho 0.2497 0.1667 0.2504
Er 0.0000 0.1668 0.5000
Er 0.0000 0.3333 0.0000
Er 0.0000 0.5000 0.5000

ΔE_f	20	meV per atom
E_tot	-109.3	eV/cell

4.
La2GaBr | PBE | optimized geometry

Cell: 4.3813 4.3813 15.2591 Å, 90.00 90.00 120.00°
Space group P6_3/mmc (No. 194)
Asymmetric unit:
La 0.3333 0.6667 0.1109
Ga 0.0000 0.0000 0.0000
Br 0.3333 0.6667 0.7500

energy relative to the elements, uncorrected	-3.69	eV per formula unit
E_tot	-36.5	eV/cell
distance to the lowest polymorph of the same formula	58	meV/atom